A plane-wave DFT calculation with PBE was carried out for crystalline YBeFe2 at its relaxed geometry.

extended XYZ file:
```
4
Lattice="2.872 -0.583 3.096 -0.594 1.789 3.824 -0.959 -2.434 3.366" Properties=species:S:1:pos:R:3 pbc="T T T"
Be 0.660 -0.614 5.143
Fe 0.000 0.000 0.000
Fe 0.990 -0.921 7.715
Y 0.330 -0.307 2.572
```

Properties
**Size of the total moment**: 3.4 Bohr magnetons per cell
**Crystal system**: cubic
**Raw total energy**: -25.480 eV/cell
**SG**: F-43m (216)



A plane-wave DFT calculation with PBE was carried out for crystalline Li4CdSiIr2 at its relaxed geometry.

extended XYZ file:
```
8
Lattice="4.185 0.000 0.000 0.000 4.185 0.000 0.000 0.000 6.307" Properties=species:S:1:pos:R:3 pbc="T T T"
Cd 0.000 0.000 0.000
Ir 2.093 0.000 1.870
Ir 0.000 2.093 4.437
Li 2.093 2.093 0.000
Li 0.000 2.093 1.665
Li 0.000 0.000 3.154
Li 2.093 0.000 4.642
Si 2.093 2.093 3.154
```

Properties
**Size of the total moment**: 0.0 Bohr magnetons per cell
**Crystal system**: tetragonal
**Raw total energy**: -34.552 eV/cell
**SG**: P-4m2 (115)



A plane-wave DFT calculation with PBE was carried out for crystalline Zn3Cu at its relaxed geometry.

extended XYZ file:
```
8
Lattice="4.668 -2.695 0.000 0.000 5.390 0.000 0.000 0.000 4.276" Properties=species:S:1:pos:R:3 pbc="T T T"
Cu 0.000 0.000 0.000
Cu 1.556 2.695 2.138
Zn 0.022 2.695 0.000
Zn 2.323 1.366 0.000
Zn 2.323 4.023 0.000
Zn 3.901 -1.366 2.138
Zn 1.534 0.000 2.138
Zn 3.900 1.366 2.138
```

Properties
**Crystal system**: hexagonal
**DFT formation energy**: -0.07 eV per atom
**SG**: P6_3/mmc (194)



A plane-wave DFT calculation with PBE was carried out for crystalline Cu2SnSe3 at its relaxed geometry.

extended XYZ file:
```
48
Lattice="6.781 1.104 -1.487 -4.212 -2.958 -4.788 -6.852 24.719 -7.596" Properties=species:S:1:pos:R:3 pbc="T T T"
Cu 0.928 -1.416 -5.216
Cu -2.112 -1.139 -2.622
Cu -2.140 1.251 -5.849
Cu -1.489 2.863 -2.235
Cu -5.008 3.932 -6.561
Cu -1.424 5.279 -5.428
Cu -0.699 9.282 -5.066
Cu -4.486 7.908 -6.196
Cu -0.604 11.643 -8.445
Cu -0.124 13.220 -4.795
Cu 0.033 15.679 -7.966
Cu -3.117 15.887 -5.493
Cu 0.575 19.620 -7.653
Cu -3.051 18.304 -8.685
Cu -6.096 20.913 -9.455
Cu -2.328 22.330 -8.317
Se 2.230 0.249 -3.987
Se -1.420 -0.860 -4.915
Se 5.624 1.756 -2.785
Se 2.888 4.354 -3.367
Se -4.520 1.672 -5.862
Se -1.065 3.036 -4.605
Se -0.638 5.402 -7.742
Se -0.388 7.056 -4.158
Se -3.814 5.709 -5.448
Se -3.142 9.564 -4.993
Se -0.040 9.548 -7.383
Se -3.941 8.113 -8.553
Se -3.030 11.931 -8.335
Se 0.394 13.436 -7.140
Se -6.666 10.841 -9.245
Se -6.221 14.615 -8.872
Se 1.286 17.442 -6.887
Se -2.329 16.195 -7.753
Se -2.488 18.343 -11.066
Se -5.396 18.832 -8.430
Se -1.793 20.081 -7.611
Se -4.762 22.590 -8.248
Se -5.538 21.142 -11.803
Se -1.641 22.588 -10.631
Sn 1.409 0.345 -1.436
Sn 1.480 2.655 -4.886
Sn 2.151 6.682 -4.482
Sn -1.379 7.782 -8.713
Sn -3.819 12.039 -5.775
Sn -3.566 14.416 -9.170
Sn -6.612 17.069 -9.883
Sn -2.979 20.816 -11.963
```

Properties
**Crystal system**: monoclinic
**Raw total energy**: -188.997 eV/cell
**SG**: Cc (9)



A plane-wave DFT calculation with PBE was carried out for crystalline BaYCdAu at its relaxed geometry.

extended XYZ file:
```
4
Lattice="-5.354 -0.847 0.927 -3.197 4.159 1.649 -3.751 2.110 -3.423" Properties=species:S:1:pos:R:3 pbc="T T T"
Au -9.226 4.066 -0.635
Ba 0.000 0.000 0.000
Cd -3.075 1.355 -0.212
Y -6.150 2.711 -0.423
```

Properties
**Energy above the lowest structure with this stoichiometry**: 0 kJ/mol of formula units
**Size of the total moment**: 0.0 Bohr magnetons per cell
**Crystal system**: cubic
**SG**: F-43m (216)



A plane-wave DFT calculation with PBE was carried out for crystalline MgScInFe at its relaxed geometry.

extended XYZ file:
```
4
Lattice="0.000 3.322 3.322 3.322 0.000 3.322 3.322 3.322 0.000" Properties=species:S:1:pos:R:3 pbc="T T T"
Fe 4.983 4.983 4.983
In 0.000 0.000 0.000
Mg 1.661 1.661 1.661
Sc 3.322 3.322 3.322
```

Properties
**Energy above the lowest structure with this stoichiometry**: 2 kJ/mol of formula units
**Size of the total moment**: 1.7 Bohr magnetons per cell
**Crystal system**: cubic
**SG**: F-43m (216)



A plane-wave DFT calculation with PBE was carried out for crystalline PaAsPO at its relaxed geometry.

extended XYZ file:
```
8
Lattice="3.804 0.000 0.000 0.000 6.335 0.000 0.000 0.000 6.100" Properties=species:S:1:pos:R:3 pbc="T T T"
As 0.000 5.813 0.281
As 0.000 0.522 3.331
O 0.000 3.804 2.757
O 0.000 2.530 5.807
P 1.902 1.578 2.257
P 1.902 4.756 5.307
Pa 1.902 4.685 2.355
Pa 1.902 1.649 5.405
```

Properties
**Energy above the lowest structure with this stoichiometry**: 36 kJ/mol of formula units
**Size of the total moment**: 0.0 Bohr magnetons per cell
**Crystal system**: orthorhombic
**SG**: Pmc2_1 (26)



A plane-wave DFT calculation with PBE was carried out for crystalline Zr3Bi2Sb2Ir4 at its relaxed geometry.

extended XYZ file:
```
11
Lattice="-3.194 3.194 6.436 3.194 -3.194 6.436 3.194 3.194 -6.436" Properties=species:S:1:pos:R:3 pbc="T T T"
Bi 0.000 3.194 0.000
Bi 3.194 0.000 0.000
Ir -1.644 1.644 8.139
Ir 1.644 -1.644 8.139
Ir 1.550 1.550 -1.703
Ir 1.644 1.644 4.733
Sb 0.000 0.000 3.315
Sb 0.000 0.000 9.557
Zr 0.000 0.000 0.000
Zr 0.000 3.194 3.218
Zr 3.194 0.000 3.218
```

Properties
**Size of the total moment**: 0.2 Bohr magnetons per cell
**Crystal system**: tetragonal
**Raw total energy**: -82.489 eV/cell
**SG**: I-42m (121)



A plane-wave DFT calculation with PBE was carried out for crystalline Re7W8 at its relaxed geometry.

extended XYZ file:
```
30
Lattice="9.673 0.000 0.000 0.000 9.673 0.000 0.000 0.000 5.052" Properties=species:S:1:pos:R:3 pbc="T T T"
Re 0.000 0.000 0.000
Re 7.161 0.654 0.000
Re 9.018 2.511 0.000
Re 3.866 3.866 0.000
Re 5.807 5.807 0.000
Re 0.654 7.161 0.000
Re 2.511 9.018 0.000
Re 8.702 0.970 2.526
Re 4.182 2.325 2.526
Re 2.325 4.182 2.526
Re 4.836 4.836 2.526
Re 7.348 5.491 2.526
Re 5.491 7.348 2.526
Re 0.970 8.702 2.526
W 4.482 1.283 0.000
W 1.283 4.482 0.000
W 8.390 5.191 0.000
W 5.191 8.390 0.000
W 1.765 1.765 1.262
W 7.908 7.908 1.262
W 6.601 3.071 1.264
W 3.071 6.601 1.264
W 6.119 0.354 2.526
W 9.318 3.554 2.526
W 0.354 6.119 2.526
W 3.554 9.318 2.526
W 6.601 3.071 3.789
W 3.071 6.601 3.789
W 1.765 1.765 3.790
W 7.908 7.908 3.790
```

Properties
**Energy above the lowest structure with this stoichiometry**: 0 kJ/mol of formula units
**Size of the total moment**: 0.0 Bohr magnetons per cell
**Crystal system**: tetragonal
**DFT formation energy**: 0.05 eV per atom
**SG**: P4_2/mnm (136)



A plane-wave DFT calculation with PBE was carried out for crystalline AlCoCuW at its relaxed geometry.

extended XYZ file:
```
4
Lattice="-1.003 -4.031 -0.574 -1.006 -2.400 3.289 -3.960 -1.272 0.534" Properties=species:S:1:pos:R:3 pbc="T T T"
Al 0.000 0.000 0.000
Co -2.985 -3.851 1.624
Cu -4.477 -5.777 2.436
W -1.492 -1.926 0.812
```

Properties
**Energy above the lowest structure with this stoichiometry**: 38 kJ/mol of formula units
**Size of the total moment**: 0.0 Bohr magnetons per cell
**Crystal system**: cubic
**SG**: F-43m (216)



A plane-wave DFT calculation with PBE was carried out for crystalline YCoSnPd at its relaxed geometry.

extended XYZ file:
```
4
Lattice="-0.857 -4.670 -0.513 -0.226 -2.823 3.846 -4.193 -1.824 1.380" Properties=species:S:1:pos:R:3 pbc="T T T"
Co -3.957 -6.989 3.534
Pd -2.638 -4.659 2.356
Sn 0.000 0.000 0.000
Y -1.319 -2.330 1.178
```

Properties
**Energy above the lowest structure with this stoichiometry**: 112 kJ/mol of formula units
**Size of the total moment**: 1.9 Bohr magnetons per cell
**Crystal system**: cubic
**SG**: F-43m (216)



A plane-wave DFT calculation with PBE was carried out for crystalline GdLu at its relaxed geometry.

extended XYZ file:
```
2
Lattice="3.371 -2.002 2.284 -0.927 -2.577 3.617 0.533 -4.500 -0.224" Properties=species:S:1:pos:R:3 pbc="T T T"
Gd 0.000 0.000 0.000
Lu 1.488 -4.539 2.839
```

Properties
**Energy above the lowest structure with this stoichiometry**: 143 kJ/mol of formula units
**Size of the total moment**: 0.8 Bohr magnetons per cell
**Crystal system**: cubic
**DFT formation energy**: 0.78 eV per atom
**SG**: Fm-3m (225)